Tb2Pm2Tm7 | PBE-GGA | optimized geometry

## Properties
Raw total energy in eV/atom: -4.392
D(E_F) in states/eV per cell: 16.962

Structure (POSCAR):
```
Tb2Pm2Tm7
1.0
5.723 1.034 1.492
0.589 7.876 1.262
0.589 -1.585 7.818
Tm Tb Pm
7 2 2
direct
0.580 0.766 0.766 Tm
0.175 0.590 0.064 Tm
0.175 0.064 0.590 Tm
0.420 0.234 0.234 Tm
0.825 0.936 0.410 Tm
0.000 0.000 0.000 Tm
0.825 0.410 0.936 Tm
0.191 0.596 0.596 Tb
0.809 0.404 0.404 Tb
0.500 0.789 0.211 Pm
0.500 0.211 0.789 Pm
```